No. 1
DFT (PBE) results for an optimized crystal structure of NdTlSn.

Its density of states at the Fermi level is 1.88 states/eV/f.u. The calculation puts the total energy at -11.9 eV per formula unit. For the energy of formation, the calculation gives -267 meV/atom. The value obtained for the calculated density is 8.47 g cm⁻³. The energy above the lowest structure with this stoichiometry comes out at 0.2066 eV per atom.

The space group is I4mm (No. 107) and the conventional cell measures 4.4429, 4.4429 and 9.2776 Å, with angles of 90.00, 90.00 and 90.00 degrees. The inequivalent atoms are Nd at (0.0000, 0.0000, 0.0000), Tl at (0.0000, 0.0000, 0.3316) and Sn at (0.0000, 0.0000, 0.6541).

***

No. 2
DFT (PBE) results for an optimized crystal structure of Na3Bi4Pb2.

Its density of states at the Fermi level is 3.90 states/eV/f.u. The calculation puts the total energy at -27.9 eV per formula unit. For the energy of formation, the calculation gives -116 meV/atom. The value obtained for the calculated density is 7.38 g cm⁻³. The energy above the lowest structure with this stoichiometry comes out at 0.0158 eV per atom.

The space group is C2/c (No. 15) and the conventional cell measures 15.5309, 12.2508 and 6.4001 Å, with angles of 90.00, 102.67 and 90.00 degrees. The inequivalent atoms are Na at (0.0000, 0.0732, 0.2500), Na at (0.1099, 0.4189, 0.0058), Bi at (0.0817, 0.3032, 0.4973), Bi at (0.1685, 0.1628, 0.9290) and Pb at (0.2203, 0.1040, 0.4694).

***

No. 3
DFT (PBE) results for an optimized crystal structure of Sm4Mg.

Its density of states at the Fermi level is 7.45 states/eV/f.u. The calculation puts the total energy at -17.7 eV per formula unit. For the energy of formation, the calculation gives 551 meV/atom. The value obtained for the calculated density is 5.57 g cm⁻³. The energy above the lowest structure with this stoichiometry comes out at 0.5760 eV per atom.

The space group is Pm-3m (No. 221) and the conventional cell measures 5.7141, 5.7141 and 5.7141 Å, with angles of 90.00, 90.00 and 90.00 degrees. The inequivalent atoms are Sm at (0.0000, 0.0000, 0.0000), Sm at (0.0000, 0.5000, 0.5000) and Mg at (0.5000, 0.5000, 0.5000).

***

No. 4
DFT (PBE) results for an optimized crystal structure of Tl8Se4Cl.

Its density of states at the Fermi level is 7.14 states/eV/f.u. The calculation puts the total energy at -40.1 eV per formula unit. For the formation energy (no corrections), the calculation gives -5.34 eV per formula unit. The value obtained for the calculated density is 6.87 g cm⁻³. The energy above the lowest structure with this stoichiometry comes out at 0.0000 eV per atom.

The space group is R-3m (No. 166, hexagonal axes) and the conventional cell measures 8.8851, 8.8851 and 21.0644 Å, with angles of 90.00, 90.00 and 120.00 degrees. The inequivalent atoms are Tl at (0.0000, 0.0000, 0.2480), Tl at (0.0007, 0.5003, 0.2476), Se at (0.0000, 0.0000, 0.5000), Se at (0.0000, 0.5000, 0.5000) and Cl at (0.0000, 0.0000, 0.0000).

***

No. 5
DFT (PBE) results for an optimized crystal structure of CaGa2TeS6.

The calculation puts the total energy at -42.6 eV per formula unit. For the formation energy (no corrections), the calculation gives -6.64 eV per formula unit. The value obtained for the calculated density is 3.43 g cm⁻³.

The space group is C2/c (No. 15) and the conventional cell measures 12.6314, 11.3500 and 6.9511 Å, with angles of 90.00, 104.05 and 90.00 degrees. The inequivalent atoms are Ca at (0.0000, 0.0977, 0.2500), Ga at (0.1885, 0.4121, 0.2373), Te at (0.0000, 0.2636, 0.7500), S at (0.1128, 0.1041, 0.6501), S at (0.1371, 0.2348, 0.0999) and S at (0.1428, 0.4266, 0.5401).

***

No. 6
DFT (PBE) results for an optimized crystal structure of Lu3InC.

Its density of states at the Fermi level is 0.28 states/eV/f.u. The calculation puts the total energy at -28.4 eV per formula unit. For the energy of formation, the calculation gives -576 meV/atom. The value obtained for the calculated density is 9.88 g cm⁻³.

The space group is Pm-3m (No. 221) and the conventional cell measures 4.7854, 4.7854 and 4.7854 Å, with angles of 90.00, 90.00 and 90.00 degrees. The inequivalent atoms are Lu at (0.0000, 0.0000, 0.5000), In at (0.5000, 0.5000, 0.5000) and C at (0.0000, 0.0000, 0.0000).

***

No. 7
DFT (PBE) results for an optimized crystal structure of ZrUIrRu.

Its density of states at the Fermi level is 5.63 states/eV/f.u. The calculation puts the total energy at -39.6 eV per formula unit. For the energy of formation, the calculation gives -417 meV/atom. The value obtained for the calculated density is 13.76 g cm⁻³.

The space group is F-43m (No. 216) and the conventional cell measures 6.6986, 6.6986 and 6.6986 Å, with angles of 90.00, 90.00 and 90.00 degrees. The inequivalent atoms are Zr at (0.0000, 0.0000, 0.0000), U at (0.0000, 0.0000, 0.5000), Ir at (0.2500, 0.2500, 0.7500) and Ru at (0.2500, 0.2500, 0.2500).

***

No. 8
DFT (PBE) results for an optimized crystal structure of Al3ZnAg4.

Its density of states at the Fermi level is 1.43 states/eV/f.u. The calculation puts the total energy at -24.0 eV per formula unit. For the energy of formation, the calculation gives -10 meV/atom. The value obtained for the calculated density is 7.18 g cm⁻³. The energy above the lowest structure with this stoichiometry comes out at 0.0000 eV per atom.

The space group is C2/m (No. 12) and the conventional cell measures 6.0819, 5.8940 and 7.9069 Å, with angles of 90.00, 109.50 and 90.00 degrees. The inequivalent atoms are Al at (0.0000, 0.0000, 0.0000), Al at (0.2492, 0.5000, 0.4995), Zn at (0.0000, 0.5000, 0.0000) and Ag at (0.1279, 0.2500, 0.7504).

***

No. 9
DFT (PBE) results for an optimized crystal structure of LiY6Se5.

Its density of states at the Fermi level is 7.19 states/eV/f.u. The calculation puts the total energy at -75.0 eV per formula unit. For the formation energy (no corrections), the calculation gives -16.92 eV per formula unit. The value obtained for the calculated density is 5.34 g cm⁻³.

The space group is P6_3/mcm (No. 193) and the conventional cell measures 6.8477, 6.8477 and 14.3130 Å, with angles of 90.00, 90.00 and 120.00 degrees. The inequivalent atoms are Li at (0.0000, 0.0000, 0.2500), Y at (0.0000, 0.3274, 0.1145), Se at (0.0000, 0.3471, 0.7500) and Se at (0.3333, 0.6667, 0.0000).

***

No. 10
DFT (PBE) results for an optimized crystal structure of Cs2NaNi.

Its density of states at the Fermi level is 4.72 states/eV/f.u. The calculation puts the total energy at -5.9 eV per formula unit. For the energy of formation, the calculation gives 719 meV/atom. The value obtained for the calculated density is 2.11 g cm⁻³.

The space group is I-42d (No. 122) and the conventional cell measures 9.4806, 9.4806 and 12.1794 Å, with angles of 90.00, 90.00 and 90.00 degrees. The inequivalent atoms are Cs at (0.0834, 0.2500, 0.1250), Na at (0.0000, 0.0000, 0.5000) and Ni at (0.0000, 0.0000, 0.0000).

***

No. 11
DFT (PBE) results for an optimized crystal structure of V5FeSi5.

Its density of states at the Fermi level is 6.73 states/eV/f.u. The calculation puts the total energy at -82.0 eV per formula unit. For the formation energy (no corrections), the calculation gives -0.79 eV per formula unit. The value obtained for the calculated density is 4.90 g cm⁻³.

The space group is C2/m (No. 12) and the conventional cell measures 9.0119, 4.2792 and 7.9420 Å, with angles of 90.00, 94.16 and 90.00 degrees. The inequivalent atoms are V at (0.0000, 0.0000, 0.0000), V at (0.0576, 0.5000, 0.1924), V at (0.2125, 0.5000, 0.9291), Fe at (0.0000, 0.0000, 0.5000), Si at (0.0000, 0.5000, 0.5000), Si at (0.1583, 0.0000, 0.7500) and Si at (0.1748, 0.0000, 0.3237).

***

No. 12
DFT (PBE) results for an optimized crystal structure of Ca3Co4P4.

Its density of states at the Fermi level is 3.49 states/eV/f.u. The calculation puts the total energy at -65.3 eV per formula unit. For the energy of formation, the calculation gives -837 meV/atom. The value obtained for the calculated density is 4.61 g cm⁻³.

The space group is I-43m (No. 217) and the conventional cell measures 7.0176, 7.0176 and 7.0176 Å, with angles of 90.00, 90.00 and 90.00 degrees. The inequivalent atoms are Ca at (0.0000, 0.0000, 0.5000), Co at (0.1357, 0.1357, 0.1357) and P at (0.1844, 0.1844, 0.8156).

***

No. 13
DFT (PBE) results for an optimized crystal structure of FeCuHgW2.

Its density of states at the Fermi level is 4.98 states/eV/f.u. The calculation puts the total energy at -31.1 eV per formula unit. For the energy of formation, the calculation gives 1530 meV/atom. The value obtained for the calculated density is 12.06 g cm⁻³.

The space group is P4/mmm (No. 123) and the conventional cell measures 4.4219, 4.4219 and 4.8434 Å, with angles of 90.00, 90.00 and 90.00 degrees. The inequivalent atoms are Fe at (0.0000, 0.0000, 0.0000), Cu at (0.5000, 0.5000, 0.5000), Hg at (0.0000, 0.0000, 0.5000) and W at (0.0000, 0.5000, 0.0000).

***

No. 14
DFT (PBE) results for an optimized crystal structure of Rb5Au2Cl.

Its density of states at the Fermi level is 3.12 states/eV/f.u. The calculation puts the total energy at -17.9 eV per formula unit. For the formation energy (no corrections), the calculation gives -4.71 eV per formula unit. The value obtained for the calculated density is 3.22 g cm⁻³.

The space group is Cmcm (No. 63) and the conventional cell measures 6.9001, 15.5410 and 16.4778 Å, with angles of 90.00, 90.00 and 90.00 degrees. The inequivalent atoms are Rb at (0.0000, 0.0517, 0.1218), Rb at (0.0000, 0.2694, 0.7500), Rb at (0.0000, 0.3376, 0.0834), Au at (0.0000, 0.1651, 0.5588) and Cl at (0.0000, 0.2126, 0.2500).

***

No. 15
DFT (PBE) results for an optimized crystal structure of Gd2CoGe.

Its density of states at the Fermi level is 2.21 states/eV/f.u. The calculation puts the total energy at -41.5 eV per formula unit. For the energy of formation, the calculation gives -392 meV/atom. The value obtained for the calculated density is 8.62 g cm⁻³.

The space group is P4/mmm (No. 123) and the conventional cell measures 3.4656, 3.4656 and 7.1551 Å, with angles of 90.00, 90.00 and 90.00 degrees. The inequivalent atoms are Gd at (0.0000, 0.0000, 0.2349), Co at (0.5000, 0.5000, 0.0000) and Ge at (0.5000, 0.5000, 0.5000).

***

No. 16
DFT (PBE) results for an optimized crystal structure of Tl2NiSb.

Its density of states at the Fermi level is 2.25 states/eV/f.u. The calculation puts the total energy at -14.1 eV per formula unit. For the formation energy (no corrections), the calculation gives 0.51 eV per formula unit. The value obtained for the calculated density is 9.63 g cm⁻³. The energy above the lowest structure with this stoichiometry comes out at 0.1134 eV per atom.

The space group is Imm2 (No. 44) and the conventional cell measures 3.2820, 4.5329 and 13.6596 Å, with angles of 90.00, 90.00 and 90.00 degrees. The inequivalent atoms are Tl at (0.0000, 0.0000, 0.0000), Tl at (0.0000, 0.5000, 0.1811), Ni at (0.0000, 0.5000, 0.7180) and Sb at (0.0000, 0.0000, 0.3601).

***

No. 17
DFT (PBE) results for an optimized crystal structure of SmU5P6.

Its density of states at the Fermi level is 28.38 states/eV/f.u. The calculation puts the total energy at -106.3 eV per formula unit. For the energy of formation, the calculation gives -1054 meV/atom. The value obtained for the calculated density is 9.59 g cm⁻³.

The space group is C2/m (No. 12) and the conventional cell measures 6.8627, 11.9011 and 6.8660 Å, with angles of 90.00, 109.53 and 90.00 degrees. The inequivalent atoms are Sm at (0.0000, 0.0000, 0.0000), U at (0.0000, 0.1644, 0.5000), U at (0.0000, 0.3332, 0.0000), U at (0.0000, 0.5000, 0.5000), P at (0.2453, 0.3302, 0.7458) and P at (0.2445, 0.5000, 0.2523).

***

No. 18
DFT (PBE) results for an optimized crystal structure of LiSmSc.

Its density of states at the Fermi level is 4.05 states/eV/f.u. The calculation puts the total energy at -12.5 eV per formula unit. For the energy of formation, the calculation gives 141 meV/atom. The value obtained for the calculated density is 4.17 g cm⁻³. The energy above the lowest structure with this stoichiometry comes out at 0.0841 eV per atom.

The space group is P3m1 (No. 156) and the conventional cell measures 3.3877, 3.3877 and 8.1028 Å, with angles of 90.00, 90.00 and 120.00 degrees. The inequivalent atoms are Li at (0.0000, 0.0000, 0.0000), Sm at (0.3333, 0.6667, 0.6512) and Sc at (0.6667, 0.3333, 0.3175).

***

No. 19
DFT (PBE) results for an optimized crystal structure of KAgCl3.

Its density of states at the Fermi level is 5.31 states/eV/f.u. The calculation puts the total energy at -13.4 eV per formula unit. For the formation energy (no corrections), the calculation gives -3.88 eV per formula unit. The value obtained for the calculated density is 1.65 g cm⁻³.

The space group is R3m (No. 160, hexagonal axes) and the conventional cell measures 7.7399, 7.7399 and 14.7475 Å, with angles of 90.00, 90.00 and 120.00 degrees. The inequivalent atoms are K at (0.0000, 0.0000, 0.0000), Ag at (0.0000, 0.0000, 0.7774) and Cl at (0.1732, 0.3464, 0.8171).

***

No. 20
DFT (PBE) results for an optimized crystal structure of Ca2CuCl.

Its density of states at the Fermi level is 1.41 states/eV/f.u. The calculation puts the total energy at -12.3 eV per formula unit. For the formation energy (no corrections), the calculation gives -2.40 eV per formula unit. The value obtained for the calculated density is 2.56 g cm⁻³. The energy above the lowest structure with this stoichiometry comes out at 0.2345 eV per atom.

The space group is P4mm (No. 99) and the conventional cell measures 3.6455, 3.6455 and 8.7469 Å, with angles of 90.00, 90.00 and 90.00 degrees. The inequivalent atoms are Ca at (0.0000, 0.0000, 0.0000), Ca at (0.5000, 0.5000, 0.3629), Cu at (0.5000, 0.5000, 0.8278) and Cl at (0.0000, 0.0000, 0.5036).